An optimized crystal structure of PmThBiPb, computed with PBE-GGA.

For the calculated formation energy, the calculation gives -588 meV per atom. The uncorrected energy comes out at -0.40630 Ry per atom. As for the space-group type: No. 160. Its magnetization is 0.000 μB per formula unit. For the relative energy among the computed polymorphs, the calculation gives 0.0 meV/atom.

The structure in POSCAR format:
```
PmThBiPb
1.0
-0.4801 -4.5612 -0.1375
2.7097 -2.6705 2.5651
-4.1900 -2.0594 6.3860
Pm Th Bi Pb
1 1 1 1
Direct
0.9459 0.9459 0.1622
0.4420 0.4420 0.6739
0.1945 0.1945 0.4164
0.6939 0.6939 0.9183
```

=====

An optimized crystal structure of NaPu2Re, computed with PBE-GGA.

For the calculated formation energy, the calculation gives 222 meV per atom. The uncorrected energy comes out at -0.76337 Ry per atom. As for the space-group type: No. 123. Its magnetization is 10.407 μB per formula unit.

The structure in POSCAR format:
```
NaPu2Re
1.0
3.2175 0.0000 0.0000
0.0000 3.2175 0.0000
0.0000 0.0000 9.7064
Re Na Pu
1 1 2
Direct
0.5000 0.5000 0.0000
0.5000 0.5000 0.5000
0.0000 0.0000 0.8143
0.0000 0.0000 0.1857
```

=====

An optimized crystal structure of Ba2LiSbAu6, computed with PBE-GGA.

The uncorrected energy comes out at -0.25463 Ry per atom. As for the space-group type: No. 2. Its magnetization is 0.000 μB per formula unit.

The structure in POSCAR format:
```
Ba2LiSbAu6
1.0
-5.3202 -4.9619 0.6953
5.7345 -4.8171 0.1130
3.1415 -4.5160 5.0971
Ba Li Sb Au
2 1 1 6
Direct
0.2050 0.7448 0.5420
0.7950 0.2552 0.4580
0.5000 0.5000 0.0000
0.0000 0.0000 0.0000
0.2684 0.7516 0.9854
0.5891 0.7471 0.1527
0.2699 0.2547 0.4835
0.7316 0.2484 0.0146
0.4109 0.2529 0.8473
0.7301 0.7453 0.5165
```

=====

Which formula does entry 2 have?
NaPu2Re